DFT (GGA-PBEsol) results for LiMgCu2 after structural relaxation.

Results
SG: Cmmm, No. 65
DFT formation energy in eV/atom: 0.017
Energy in eV/f.u.: -12.3
Calculated volume in Å³/atom: 13.73

Structure (POSCAR):
```
LiMgCu2
1.0
5.3610 0.0000 0.0000
0.0000 7.3815 0.0000
0.0000 0.0000 2.7753
Li Mg Cu
2 2 4
Cartesian
0.0000 0.0000 0.0000
2.6805 3.6907 0.0000
0.0000 3.6907 0.0000
2.6805 0.0000 0.0000
1.3403 1.8454 1.3876
1.3403 5.5361 1.3876
4.0208 1.8454 1.3876
4.0208 5.5361 1.3876
```

***

DFT (GGA-PBEsol) results for CrC3F after structural relaxation.

Results
SG: Pm-3m, No. 221
Energy in eV/f.u.: -26.7
Calculated volume in Å³/atom: 9.07
Uncorrected formation energy in meV per atom: 2878

Structure (POSCAR):
```
CrC3F
1.0
3.5665 0.0000 0.0000
0.0000 3.5665 0.0000
0.0000 0.0000 3.5665
Cr C F
1 3 1
Cartesian
0.0000 0.0000 0.0000
0.0000 1.7832 1.7832
1.7832 0.0000 1.7832
1.7832 1.7832 0.0000
1.7832 1.7832 1.7832
```

***

DFT (GGA-PBEsol) results for LiSn3Bi after structural relaxation.

Results
SG: Pm-3m, No. 221
DFT formation energy in eV/atom: 0.155
Energy in eV/f.u.: -18.3
Calculated volume in Å³/atom: 25.64

Structure (POSCAR):
```
LiSn3Bi
1.0
5.0422 0.0000 0.0000
0.0000 5.0422 0.0000
0.0000 0.0000 5.0422
Li Sn Bi
1 3 1
Cartesian
0.0000 0.0000 0.0000
0.0000 0.0000 2.5211
0.0000 2.5211 0.0000
2.5211 0.0000 0.0000
2.5211 2.5211 2.5211
```

***

DFT (GGA-PBEsol) results for In3RuCl after structural relaxation.

Results
SG: Pm-3m, No. 221
Energy in eV/f.u.: -21.8
Excess energy over the best structure of this formula in the dataset in meV/atom: 0
Calculated volume in Å³/atom: 26.27
Uncorrected formation energy in meV per atom: -131

Structure (POSCAR):
```
In3RuCl
1.0
5.0830 0.0000 0.0000
0.0000 5.0830 0.0000
0.0000 0.0000 5.0830
In Ru Cl
3 1 1
Cartesian
0.0000 0.0000 2.5415
0.0000 2.5415 0.0000
2.5415 0.0000 0.0000
0.0000 0.0000 0.0000
2.5415 2.5415 2.5415
```

***

DFT (GGA-PBEsol) results for Cu2SeI after structural relaxation.

Results
SG: I-42d, No. 122
Energy in eV/f.u.: -14.7
Calculated volume in Å³/atom: 22.68
Uncorrected formation energy in meV per atom: -110

Structure (POSCAR):
```
Cu2SeI
1.0
5.6661 0.0000 0.0000
0.0000 5.6661 0.0000
0.0000 0.0000 11.3038
Cu Se I
8 4 4
Cartesian
1.1854 1.4165 1.4130
1.4165 4.0185 4.2389
1.4165 4.4807 9.8909
1.6477 1.4165 7.0649
4.0185 4.2496 7.0649
4.2496 1.1854 9.8909
4.2496 1.6477 4.2389
4.4807 4.2496 1.4130
0.0000 0.0000 0.0000
0.0000 2.8331 2.8260
2.8331 0.0000 8.4779
2.8331 2.8331 5.6519
0.0000 0.0000 5.6519
0.0000 2.8331 8.4779
2.8331 0.0000 2.8260
2.8331 2.8331 0.0000
```

***

DFT (GGA-PBEsol) results for LaTl3Ir after structural relaxation.

Results
SG: Pm-3m, No. 221
DFT formation energy in eV/atom: 0.101
Energy in eV/f.u.: -22.6
Calculated volume in Å³/atom: 27.61

Structure (POSCAR):
```
LaTl3Ir
1.0
5.1681 0.0000 0.0000
0.0000 5.1681 0.0000
0.0000 0.0000 5.1681
La Tl Ir
1 3 1
Cartesian
0.0000 0.0000 0.0000
0.0000 2.5841 2.5841
2.5841 0.0000 2.5841
2.5841 2.5841 0.0000
2.5841 2.5841 2.5841
```

***

Question: What is the calculated volume in the first record?
Answer: 13.73 Å³/atom

***

Question: Which formula does entry 5 have?
Answer: Cu2SeI

***

What did the sixth record say?
DFT (GGA-PBEsol) results for LaTl3Ir after structural relaxation.

Results
SG: Pm-3m, No. 221
DFT formation energy in eV/atom: 0.101
Energy in eV/f.u.: -22.6
Calculated volume in Å³/atom: 27.61

Structure (POSCAR):
```
LaTl3Ir
1.0
5.1681 0.0000 0.0000
0.0000 5.1681 0.0000
0.0000 0.0000 5.1681
La Tl Ir
1 3 1
Cartesian
0.0000 0.0000 0.0000
0.0000 2.5841 2.5841
2.5841 0.0000 2.5841
2.5841 2.5841 0.0000
2.5841 2.5841 2.5841
```

***

Question: Which of these has the highest energy?
Answer: LiMgCu2